RbTl2Pd4 | PBE | relaxed

abc: 7.4113 7.4113 7.4113
angles: 110.70 108.86 108.86
Last column: nearest neighbours and their distance in Å.
Fractional coordinates of all 14 atoms:
Rb 0.0000 0.2500 0.2500  8 Pd 3.41
Rb 0.0000 0.7500 0.7500  8 Pd 3.41
Pd 0.5000 0.9763 0.1952  4 Pd 2.77-3.03, 4 Tl 2.83-2.92
Pd 0.2188 0.1952 0.6952  4 Pd 2.77-3.03, 4 Tl 2.83-2.92
Pd 0.7812 0.4763 0.9763  4 Pd 2.77-3.03, 4 Tl 2.83-2.92
Pd 0.2188 0.5237 0.0237  4 Pd 2.77-3.03, 4 Tl 2.83-2.92
Pd 0.5000 0.6952 0.4763  4 Pd 2.77-3.03, 4 Tl 2.83-2.92
Pd 0.5000 0.0237 0.8048  4 Pd 2.77-3.03, 4 Tl 2.83-2.92
Pd 0.7812 0.8048 0.3048  4 Pd 2.77-3.03, 4 Tl 2.83-2.92
Pd 0.5000 0.3048 0.5237  4 Pd 2.77-3.03, 4 Tl 2.83-2.92
Tl 0.5000 0.3433 0.1567  8 Pd 2.83-2.92
Tl 0.5000 0.6567 0.8433  8 Pd 2.83-2.92
Tl 0.1865 0.8433 0.3433  8 Pd 2.83-2.92
Tl 0.8135 0.1567 0.6567  8 Pd 2.83-2.92

The total magnetization comes out at 0.0 μB/f.u. The total energy is -55.32 eV for the cell shown. The value obtained for the formation energy is -170 meV/atom. For the density of states at the Fermi level, the calculation gives 6.9 states/eV per cell.